Entry 1:
! SrOs2Rh, PBEsol geometry, DFT meta-GGA SCAN; values from VASP
&SYSTEM
  ibrav = 0, nat = 4, ntyp = 3
/
ATOMIC_SPECIES
Os 190.23 Os.upf
Rh 102.91 Rh.upf
Sr 87.62 Sr.upf
CELL_PARAMETERS angstrom
3.831 0.000 0.000
0.000 3.831 0.000
0.000 0.000 4.629
ATOMIC_POSITIONS crystal
Os 0.500 0.000 0.000
Rh 0.500 0.500 0.500
Os 0.000 0.500 0.000
Sr 0.000 0.000 0.500
! * total DFT energy (no corrections): -1.79990 hartree per atom
! * ρ: 13.96 g/cm³
! * DFT formation energy: 0.974 eV/atom
! * D(E_F): 1.1561 states/eV/atom

---

Entry 2:
! TaOs2Rh, PBEsol geometry, DFT meta-GGA SCAN; values from VASP
&SYSTEM
  ibrav = 0, nat = 4, ntyp = 3
/
ATOMIC_SPECIES
Rh 102.91 Rh.upf
Os 190.23 Os.upf
Ta 180.95 Ta.upf
CELL_PARAMETERS angstrom
-0.185 -2.775 2.674
3.732 0.538 0.817
-0.974 2.662 2.695
ATOMIC_POSITIONS crystal
Rh 0.500 0.500 0.500
Os 0.000 0.500 0.000
Os 0.500 0.000 0.000
Ta 0.000 0.000 0.500
! * total DFT energy (no corrections): -2.25564 hartree per atom
! * ρ: 18.95 g/cm³
! * DFT formation energy: -0.350 eV/atom
! * D(E_F): 0.7856 states/eV/atom

---

Entry 3:
! TaOsRh, PBEsol geometry, DFT meta-GGA SCAN; values from VASP
&SYSTEM
  ibrav = 0, nat = 3, ntyp = 3
/
ATOMIC_SPECIES
Ta 180.95 Ta.upf
Os 190.23 Os.upf
Rh 102.91 Rh.upf
CELL_PARAMETERS angstrom
-0.132 -2.597 -0.919
0.963 1.996 -1.642
6.299 -1.137 2.311
ATOMIC_POSITIONS crystal
Ta 0.667 0.333 0.336
Os 0.000 0.000 0.993
Rh 0.333 0.667 0.670
! * total DFT energy (no corrections): -2.11040 hartree per atom
! * ρ: 17.56 g/cm³
! * DFT formation energy: -0.015 eV/atom
! * D(E_F): 0.8990 states/eV/atom

---

Entry 4:
! TaOsRh2, PBEsol geometry, DFT meta-GGA SCAN; values from VASP
&SYSTEM
  ibrav = 0, nat = 4, ntyp = 3
/
ATOMIC_SPECIES
Os 190.23 Os.upf
Rh 102.91 Rh.upf
Ta 180.95 Ta.upf
CELL_PARAMETERS angstrom
3.844 0.000 0.000
0.000 3.844 0.000
-1.922 -1.922 3.900
ATOMIC_POSITIONS crystal
Os 0.000 0.000 0.000
Rh 0.750 0.250 0.500
Rh 0.250 0.750 0.500
Ta 0.500 0.500 0.000
! * total DFT energy (no corrections): -1.90828 hartree per atom
! * ρ: 16.62 g/cm³
! * DFT formation energy: -0.425 eV/atom
! * D(E_F): 0.5451 states/eV/atom

---

Entry 5:
! Ta2OsRh, PBEsol geometry, DFT meta-GGA SCAN; values from VASP
&SYSTEM
  ibrav = 0, nat = 4, ntyp = 3
/
ATOMIC_SPECIES
Ta 180.95 Ta.upf
Rh 102.91 Rh.upf
Os 190.23 Os.upf
CELL_PARAMETERS angstrom
-0.730 -2.637 1.047
0.802 -1.828 -4.044
4.524 -0.759 1.240
ATOMIC_POSITIONS crystal
Ta 0.875 0.000 0.917
Ta 0.875 0.500 0.351
Rh 0.375 0.500 0.820
Os 0.375 0.000 0.413
! * total DFT energy (no corrections): -2.20989 hartree per atom
! * ρ: 17.32 g/cm³
! * DFT formation energy: -0.430 eV/atom
! * D(E_F): 0.7117 states/eV/atom

---

Entry 6:
! TaOs2Rh, PBEsol geometry, DFT meta-GGA SCAN; values from VASP
&SYSTEM
  ibrav = 0, nat = 4, ntyp = 3
/
ATOMIC_SPECIES
Os 190.23 Os.upf
Rh 102.91 Rh.upf
Ta 180.95 Ta.upf
CELL_PARAMETERS angstrom
3.889 0.000 0.000
0.000 3.889 0.000
-1.944 -1.944 3.861
ATOMIC_POSITIONS crystal
Os 0.250 0.750 0.500
Rh 0.000 0.000 0.000
Os 0.500 0.500 0.000
Ta 0.750 0.250 0.500
! * total DFT energy (no corrections): -2.25313 hartree per atom
! * ρ: 18.90 g/cm³
! * DFT formation energy: -0.282 eV/atom
! * D(E_F): 0.7293 states/eV/atom

---

Entry 7:
! TaOs2Rh, PBEsol geometry, DFT meta-GGA SCAN; values from VASP
&SYSTEM
  ibrav = 0, nat = 4, ntyp = 3
/
ATOMIC_SPECIES
Os 190.23 Os.upf
Rh 102.91 Rh.upf
Ta 180.95 Ta.upf
CELL_PARAMETERS angstrom
2.752 0.000 0.000
0.000 2.752 0.000
0.000 0.000 7.769
ATOMIC_POSITIONS crystal
Os 0.500 0.500 0.245
Rh 0.000 0.000 0.492
Ta 0.500 0.500 0.746
Os 0.000 0.000 0.017
! * total DFT energy (no corrections): -2.24811 hartree per atom
! * ρ: 18.75 g/cm³
! * DFT formation energy: -0.146 eV/atom
! * D(E_F): 0.5606 states/eV/atom

---

Entry 8:
! TaOs2Rh, PBEsol geometry, DFT meta-GGA SCAN; values from VASP
&SYSTEM
  ibrav = 0, nat = 4, ntyp = 3
/
ATOMIC_SPECIES
Os 190.23 Os.upf
Ta 180.95 Ta.upf
Rh 102.91 Rh.upf
CELL_PARAMETERS angstrom
2.780 0.000 0.000
0.000 4.737 0.002
-1.390 -0.819 4.464
ATOMIC_POSITIONS crystal
Os 0.996 0.973 0.991
Ta 0.749 0.260 0.498
Rh 0.502 0.500 0.005
Os 0.253 0.768 0.506
! * total DFT energy (no corrections): -2.24958 hartree per atom
! * ρ: 18.76 g/cm³
! * DFT formation energy: -0.186 eV/atom
! * D(E_F): 0.5348 states/eV/atom

---

- The highest total DFT energy (no corrections) belongs to which entry?
  SrOs2Rh